VASP calculation (PBE) on a geometry-optimized Lu2ScHg structure.

The space group is F-43m (No. 216) and the conventional cell measures 7.322, 7.322 and 7.322 Å, with angles of 90.00, 90.00 and 90.00 degrees. The inequivalent atoms are Lu at (0.000, 0.000, 0.000), Lu at (0.250, 0.250, 0.250), Sc at (0.000, 0.000, 0.500) and Hg at (0.250, 0.250, 0.750).

For the final energy, the calculation gives -3.95 eV per atom.